one) Here is a relaxed structure of CdP2CO from Alexandria. Energies are from PBE-GGA.

Calculated values
- Calculated volume: 66 Å³ per cell

```
5
Lattice="4.002 0.000 0.000 0.000 4.002 0.000 0.000 0.000 4.136" Properties=species:S:1:pos:R:3 pbc="T T T"
Cd 0.000 0.000 0.000
P 0.000 2.001 2.068
P 2.001 0.000 2.068
C 2.001 2.001 2.068
O 2.001 2.001 0.000
```



two) Here is a relaxed structure of CdP2CO from Alexandria. Energies are from PBE-GGA.

Calculated values
- Calculated volume: 100 Å³ per cell

```
5
Lattice="5.011 0.000 0.000 0.000 5.011 0.000 0.000 0.000 3.983" Properties=species:S:1:pos:R:3 pbc="T T T"
Cd 0.000 0.000 0.000
P 0.000 2.505 0.000
P 2.505 0.000 0.000
C 2.505 2.505 1.991
O 0.000 0.000 1.991
```



Most stable of them? one).



one) Here is a relaxed structure of CdOs3C from Alexandria. Energies are from PBE-GGA.

Calculated values
- Calculated volume: 119 Å³ per cell

```
5
Lattice="4.916 0.000 0.000 0.000 4.916 0.000 0.000 0.000 4.916" Properties=species:S:1:pos:R:3 pbc="T T T"
Cd 0.000 0.000 0.000
Os 0.000 0.000 2.458
Os 0.000 2.458 0.000
Os 2.458 0.000 0.000
C 2.458 2.458 2.458
```



two) Here is a relaxed structure of CdOs3C from Alexandria. Energies are from PBE-GGA.

Calculated values
- Calculated volume: 70 Å³ per cell

```
5
Lattice="4.127 0.000 0.000 0.000 4.127 0.000 0.000 0.000 4.127" Properties=species:S:1:pos:R:3 pbc="T T T"
Cd 0.000 0.000 0.000
Os 0.000 2.064 2.064
Os 2.064 0.000 2.064
Os 2.064 2.064 0.000
C 2.064 2.064 2.064
```



Most stable of them? two).



one) Here is a relaxed structure of Sr2CdOsC from Alexandria. Energies are from PBE-GGA.

Calculated values
- Calculated volume: 122 Å³ per cell

```
5
Lattice="5.557 0.000 0.000 0.000 5.557 0.000 0.000 0.000 3.934" Properties=species:S:1:pos:R:3 pbc="T T T"
Sr 0.000 2.779 0.000
Sr 2.779 0.000 0.000
Cd 0.000 0.000 1.967
Os 2.779 2.779 1.967
C 2.779 2.779 0.000
```



two) Here is a relaxed structure of Sr2CdOsC from Alexandria. Energies are from PBE-GGA.

Calculated values
- Calculated volume: 140 Å³ per cell

```
5
Lattice="5.950 0.000 0.000 0.000 5.950 0.000 0.000 0.000 3.954" Properties=species:S:1:pos:R:3 pbc="T T T"
Sr 0.000 2.975 0.000
Sr 2.975 0.000 0.000
Cd 0.000 0.000 1.977
Os 2.975 2.975 0.000
C 2.975 2.975 1.977
```



Most stable of them? one).



one) Here is a relaxed structure of CdPC3 from Alexandria. Energies are from PBE-GGA.

Calculated values
- Calculated volume: 53 Å³ per cell

```
5
Lattice="3.754 0.000 0.000 0.000 3.754 0.000 0.000 0.000 3.754" Properties=species:S:1:pos:R:3 pbc="T T T"
Cd 0.000 0.000 0.000
P 1.877 1.877 1.877
C 0.000 1.877 1.877
C 1.877 0.000 1.877
C 1.877 1.877 0.000
```



two) Here is a relaxed structure of CdPC3 from Alexandria. Energies are from PBE-GGA.

Calculated values
- Calculated volume: 78 Å³ per cell

```
5
Lattice="4.279 0.000 0.000 0.000 4.279 0.000 0.000 0.000 4.279" Properties=species:S:1:pos:R:3 pbc="T T T"
Cd 0.000 0.000 0.000
P 2.140 2.140 2.140
C 0.000 0.000 2.140
C 0.000 2.140 0.000
C 2.140 0.000 0.000
```



Most stable of them? one).



one) Here is a relaxed structure of Cd2PC2 from Alexandria. Energies are from PBE-GGA.

Calculated values
- Calculated volume: 80 Å³ per cell

```
5
Lattice="-1.274 1.274 12.391 1.274 -1.274 12.391 1.274 1.274 -12.391" Properties=species:S:1:pos:R:3 pbc="T T T"
Cd 0.000 0.000 3.142
Cd 0.000 0.000 21.640
P 0.000 0.000 12.391
C 1.274 0.000 6.195
C 0.000 1.274 6.195
```



two) Here is a relaxed structure of Cd2PC2 from Alexandria. Energies are from PBE-GGA.

Calculated values
- Calculated volume: 192 Å³ per cell

```
10
Lattice="7.409 0.000 0.000 0.000 7.409 0.000 0.000 0.000 3.499" Properties=species:S:1:pos:R:3 pbc="T T T"
Cd 1.483 2.221 0.000
Cd 2.221 5.926 0.000
Cd 5.188 1.483 0.000
Cd 5.926 5.188 0.000
P 0.000 0.000 0.000
P 3.704 3.704 0.000
C 0.444 3.260 1.749
C 3.260 6.965 1.749
C 4.148 0.444 1.749
C 6.965 4.148 1.749
```



Most stable of them? two).



one) Here is a relaxed structure of CdPCS2 from Alexandria. Energies are from PBE-GGA.

Calculated values
- Calculated volume: 127 Å³ per cell

```
5
Lattice="5.021 0.000 0.000 0.000 5.021 0.000 0.000 0.000 5.035" Properties=species:S:1:pos:R:3 pbc="T T T"
Cd 0.000 0.000 0.000
P 0.000 0.000 2.518
C 2.510 2.510 2.518
S 0.000 2.510 0.000
S 2.510 0.000 0.000
```



two) Here is a relaxed structure of CdPCS2 from Alexandria. Energies are from PBE-GGA.

Calculated values
- Calculated volume: 80 Å³ per cell

```
5
Lattice="4.624 0.000 0.000 0.000 4.624 0.000 0.000 0.000 3.723" Properties=species:S:1:pos:R:3 pbc="T T T"
Cd 0.000 0.000 0.000
P 2.312 2.312 0.000
C 2.312 2.312 1.861
S 0.000 2.312 1.861
S 2.312 0.000 1.861
```



Most stable of them? two).